1.
BaAlCd3 | the Alexandria database | GGA-PBEsol | relaxed; DOS at the Fermi energy = 3.43 states/eV per cell; VASP energy = -1.97 eV per atom; ΔH_f (0 K) = 0.0 eV/f.u.
1.0
5.235 0.000 0.000
0.000 5.235 0.000
0.000 0.000 5.235
Ba Al Cd
1 1 3
Cartesian
0.000 0.000 0.000
2.618 2.618 2.618
0.000 2.618 2.618
2.618 0.000 2.618
2.618 2.618 0.000

=====

2.
InH2F | the Alexandria database | GGA-PBEsol | relaxed; DOS at the Fermi energy = 0.86 states/eV per cell; VASP energy = -3.20 eV per atom
1.0
-1.817 1.817 6.491
1.817 -1.817 6.491
1.817 1.817 -6.491
In H F
2 4 2
Cartesian
0.000 0.000 0.000
0.000 1.817 3.245
0.440 0.909 1.623
-0.909 1.377 4.868
-0.440 2.726 1.623
0.909 2.257 4.868
1.817 0.000 3.245
0.000 0.000 6.491

=====

Repeat the first record exactly.
BaAlCd3 | the Alexandria database | GGA-PBEsol | relaxed; DOS at the Fermi energy = 3.43 states/eV per cell; VASP energy = -1.97 eV per atom; ΔH_f (0 K) = 0.0 eV/f.u.
1.0
5.235 0.000 0.000
0.000 5.235 0.000
0.000 0.000 5.235
Ba Al Cd
1 1 3
Cartesian
0.000 0.000 0.000
2.618 2.618 2.618
0.000 2.618 2.618
2.618 0.000 2.618
2.618 2.618 0.000

=====

- What is the VASP energy in the second record?
  -3.20 eV per atom